Record 1
Entry from Alexandria via LeMat-Bulk: a geometry-optimized YScCo structure (GGA-PBE).

Cell lengths 3.7945, 3.7945, 5.7438 Å; angles 90.00, 90.00, 120.00 degrees
With the nearest neighbours (Å) after each atom.
Space group P3m1 (No. 156)
Unique sites:
Y1 0.0000 0.0000 0.0000 (multiplicity 1)  3 Co 2.68
Sc1 0.3333 0.6667 0.4763 (multiplicity 1)  3 Co 2.50
Co1 0.6667 0.3333 0.2684 (multiplicity 1)  3 Sc 2.50, 3 Y 2.68

energy relative to the elements	-16.6	meV per atom
electronic total energy	-6.65	eV/atom

---

Record 2
Entry from Alexandria via LeMat-Bulk: a geometry-optimized BeHg3I structure (GGA-PBE).

Cell lengths 5.1155, 5.1155, 5.1155 Å; angles 90.00, 90.00, 90.00 degrees
With the nearest neighbours (Å) after each atom.
Space group Pm-3m (No. 221)
Unique sites:
Be1 0.0000 0.0000 0.0000 (multiplicity 1)  6 Hg 2.56
Hg1 0.0000 0.0000 0.5000 (multiplicity 3)  2 Be 2.56
I1 0.5000 0.5000 0.5000 (multiplicity 1)  12 Hg 3.62

electronic total energy	-1.13	eV/atom

---

Record 3
Entry from Alexandria via LeMat-Bulk: a geometry-optimized AcTbInAg structure (GGA-PBE).

Cell lengths 7.8032, 7.8032, 7.8032 Å; angles 90.00, 90.00, 90.00 degrees
With the nearest neighbours (Å) after each atom.
Space group F-43m (No. 216)
Unique sites:
Ac1 0.0000 0.0000 0.0000 (multiplicity 4)  4 In 3.38, 4 Ag 3.38
Tb1 0.0000 0.0000 0.5000 (multiplicity 4)  4 In 3.38, 4 Ag 3.38
In1 0.2500 0.2500 0.2500 (multiplicity 4)  4 Ac 3.38, 4 Tb 3.38
Ag1 0.2500 0.2500 0.7500 (multiplicity 4)  4 Ac 3.38, 4 Tb 3.38

energy relative to the elements	-317.3	meV per atom
electronic total energy	-3.90	eV/atom

---

Record 4
Entry from Alexandria via LeMat-Bulk: a geometry-optimized Ca2AcCd structure (GGA-PBE).

Cell lengths 8.2714, 8.2714, 8.2714 Å; angles 90.00, 90.00, 90.00 degrees
With the nearest neighbours (Å) after each atom.
Space group Fm-3m (No. 225)
Unique sites:
Ca1 0.2500 0.2500 0.2500 (multiplicity 8)  4 Cd 3.58, 4 Ac 3.58
Ac1 0.0000 0.0000 0.0000 (multiplicity 4)  8 Ca 3.58
Cd1 0.0000 0.0000 0.5000 (multiplicity 4)  8 Ca 3.58

energy relative to the elements	45.3	meV per atom
electronic total energy	-2.21	eV/atom

---

Record 5
Entry from Alexandria via LeMat-Bulk: a geometry-optimized ScCoAs2Ir structure (GGA-PBE).

Cell lengths 4.7396, 4.7396, 5.0169 Å; angles 90.00, 90.00, 90.00 degrees
With the nearest neighbours (Å) after each atom.
Space group P4/mmm (No. 123)
Unique sites:
Sc1 0.0000 0.0000 0.0000 (multiplicity 1)  2 Ir 2.51
Co1 0.5000 0.5000 0.0000 (multiplicity 1)  4 Sc 3.35, 8 As 3.45
As1 0.0000 0.5000 0.5000 (multiplicity 2)  2 Ir 2.37
Ir1 0.0000 0.0000 0.5000 (multiplicity 1)  4 As 2.37, 2 Sc 2.51

energy relative to the elements	629.2	meV per atom
electronic total energy	-5.69	eV/atom

---

Record 6
Entry from Alexandria via LeMat-Bulk: a geometry-optimized PmPrEuMg structure (GGA-PBE).

Cell lengths 8.0866, 8.0866, 8.0866 Å; angles 90.00, 90.00, 90.00 degrees
With the nearest neighbours (Å) after each atom.
Space group F-43m (No. 216)
Unique sites:
Pm1 0.0000 0.0000 0.0000 (multiplicity 4)  4 Mg 3.50, 4 Eu 3.50
Pr1 0.0000 0.0000 0.5000 (multiplicity 4)  4 Eu 3.50, 4 Mg 3.50
Eu1 0.2500 0.2500 0.7500 (multiplicity 4)  4 Pr 3.50, 4 Pm 3.50
Mg1 0.2500 0.2500 0.2500 (multiplicity 4)  4 Pr 3.50, 4 Pm 3.50

energy relative to the elements	40.2	meV per atom
electronic total energy	-5.31	eV/atom